{
  "formula": "AcCr2SnO8",
  "functional": "PBE+U",
  "state": "optimized geometry",
  "dos_ef_per_ev_cell": 2.88,
  "dft_energy_ev_per_cell": -84.9,
  "lattice": [[-1.310, 2.874, -3.981], [-2.888, -2.649, -3.235], [-6.368, 2.275, 3.375]],
  "species": ["Sn", "O", "O", "O", "O", "O", "Cr", "O", "Cr", "O", "O", "Ac"],
  "fractional_positions": [[0.000, 0.000, 0.000], [0.248, 0.778, 0.211], [0.222, 0.752, 0.789], [0.298, 0.298, 0.571], [0.702, 0.702, 0.429], [0.752, 0.222, 0.789], [0.375, 0.375, 0.779], [0.778, 0.248, 0.211], [0.625, 0.625, 0.221], [0.246, 0.246, 0.965], [0.754, 0.754, 0.035], [0.000, 0.000, 0.500]]
}